## LiAcCr2F8 (PBE+U)

Data for a relaxed LiAcCr2F8 crystal.

## Properties
- Total energy: -5.902 eV/atom
- Fermi-level density of states: 0.0 states/eV per cell
- Space-group type: No. 164
- Magnetization: 0.67 μB per atom

Cell lengths 6.2838, 6.2838, 6.4391 Å; angles 90.00, 90.00, 120.00 degrees
Last column: nearest neighbours and their distance in Å.
Sites, in units of the cell vectors:
Li 0.0000 0.0000 0.0000  6 F 2.06
Ac 0.0000 0.0000 0.5000  6 F 2.46
Cr 0.3333 0.6667 0.7560  4 F 1.91-2.07
Cr 0.6667 0.3333 0.2440  4 F 1.91-2.07
F 0.1449 0.2898 0.7935  1 Li 2.06, 1 Cr 2.07
F 0.1449 0.8551 0.7935  1 Li 2.06, 1 Cr 2.07
F 0.2898 0.1449 0.2065  1 Li 2.06, 1 Cr 2.07
F 0.3333 0.6667 0.4593  1 Cr 1.91
F 0.6667 0.3333 0.5407  1 Cr 1.91
F 0.7102 0.8551 0.7935  1 Li 2.06, 1 Cr 2.07
F 0.8551 0.1449 0.2065  1 Li 2.06, 1 Cr 2.07
F 0.8551 0.7102 0.2065  1 Li 2.06, 1 Cr 2.07